Entry 1:
First-principles (PBE-GGA) data for crystalline Ba3ScGa at its relaxed geometry, as listed in Alexandria.

Unit cell a=6.417 b=6.417 c=6.417 alpha=90.00 beta=90.00 gamma=90.00
Atoms (fractional coordinates):
Sc 0.500 0.500 0.500
Ba 0.000 0.500 0.000
Ba 0.500 0.000 0.000
Ga 0.000 0.000 0.000
Ba 0.000 0.000 0.500

Computed properties:
Energy above the most stable polymorph in this dataset in kJ/mol of formula units: 0
Total magnetization in Bohr magnetons per cell: 2.52

Entry 2:
First-principles (PBE-GGA) data for crystalline LaNdDy2In4 at its relaxed geometry, as listed in Alexandria.

Unit cell a=5.426 b=5.426 c=9.418 alpha=73.26 beta=73.26 gamma=60.00
Atoms (fractional coordinates):
In 0.126 0.126 0.622
Dy 0.250 0.250 0.250
In 0.874 0.874 0.378
In 0.624 0.624 0.128
Nd 0.500 0.500 0.500
Dy 0.750 0.750 0.750
In 0.376 0.376 0.872
La 0.000 0.000 0.000

Computed properties:
Electronic total energy in eV per formula unit: -33.7
Total magnetization in Bohr magnetons per cell: 0.00